Record 1
The following is a PBE calculation of a geometry-optimized ScTa2Hg structure, from the Alexandria database.

Calculated values
**ΔE_f**: 0.27 eV per atom
**SG**: P4/mmm (123)

```
ScTa2Hg
1.0
-2.060 -1.275 1.651
1.902 -0.205 2.221
-2.671 8.262 3.051
Hg Sc Ta
1 1 2
Direct
0.500 0.500 0.250
0.500 0.500 0.750
0.000 0.000 0.500
0.000 0.000 0.000
```

***

Record 2
The following is a PBE calculation of a geometry-optimized PrTmTh2As4 structure, from the Alexandria database.

Calculated values
**ΔE_f**: -1.44 eV per atom
**SG**: P2/m (10)

```
PrTmTh2As4
1.0
-0.891 -3.576 2.081
6.061 0.795 3.960
-1.491 3.885 6.038
Tm Pr As Th
1 1 4 2
Direct
0.000 0.500 0.500
0.500 0.500 0.000
0.500 0.744 0.258
0.500 0.256 0.742
0.000 0.251 0.256
0.000 0.749 0.744
0.000 0.000 0.000
0.500 0.000 0.500
```

***

Record 3
The following is a PBE calculation of a geometry-optimized CsZnHg2I structure, from the Alexandria database.

Calculated values
**Formation energy from raw total energies**: -437 meV per atom
**SG**: P4/mmm (123)

```
CsZnHg2I
1.0
5.428 0.000 0.000
0.000 5.428 0.000
0.000 0.000 6.634
I Zn Hg Cs
1 1 2 1
Direct
0.000 0.000 0.500
0.000 0.000 0.000
0.500 0.000 0.000
0.000 0.500 0.000
0.500 0.500 0.500
```